Entry 1:
A PBEsol-optimized structure of BaScAg2, computed with SCAN.

## Properties
The energy of formation comes out at 0.250 eV/f.u. The calculation puts the volume at 24.71 Å³ per atom.

The structure in CIF format:
```
data_BaScAg2
_chemical_formula_sum 'Ba2 Sc2 Ag4'
_space_group_name_H-M_alt 'I m m 2'
_space_group_IT_number 44
_cell_length_a 3.415
_cell_length_b 5.280
_cell_length_c 10.963
_cell_angle_alpha 90.00
_cell_angle_beta 90.00
_cell_angle_gamma 90.00
loop_
_space_group_symop_operation_xyz
'x,y,z'
'-x,-y,z'
'-x,y,z'
'x,-y,z'
'x+1/2,y+1/2,z+1/2'
'-x+1/2,-y+1/2,z+1/2'
'-x+1/2,y+1/2,z+1/2'
'x+1/2,-y+1/2,z+1/2'
loop_
_atom_site_label
_atom_site_type_symbol
_atom_site_fract_x
_atom_site_fract_y
_atom_site_fract_z
Ba1 Ba 0.000 0.000 0.000
Sc1 Sc 0.000 0.500 0.800
Ag1 Ag 0.000 0.000 0.531
Ag2 Ag 0.000 0.500 0.236
```

=====

Entry 2:
A PBEsol-optimized structure of TlAu7, computed with SCAN.

## Properties
The energy of formation comes out at 0.504 eV/f.u. The calculation puts the volume at 17.73 Å³ per atom.

The structure in CIF format:
```
data_TlAu7
_chemical_formula_sum 'Tl4 Au28'
_space_group_name_H-M_alt 'F m -3 m'
_space_group_IT_number 225
_space_group_name_Hall '-F 4 2 3'
_cell_length_a 8.278
_cell_length_b 8.278
_cell_length_c 8.278
_cell_angle_alpha 90.00
_cell_angle_beta 90.00
_cell_angle_gamma 90.00
loop_
_atom_site_label
_atom_site_type_symbol
_atom_site_fract_x
_atom_site_fract_y
_atom_site_fract_z
Tl1 Tl 0.000 0.000 0.000
Au1 Au 0.000 0.000 0.500
Au2 Au 0.000 0.250 0.250
```

=====

Entry 3:
A PBEsol-optimized structure of SrY2Si, computed with SCAN.

## Properties
The calculation puts the volume at 27.66 Å³ per atom. The energy relative to the elements, uncorrected comes out at 0.1436 eV/atom.

The structure in CIF format:
```
data_SrY2Si
_chemical_formula_sum 'Sr2 Y4 Si2'
_space_group_name_H-M_alt 'C 1 2/m 1'
_space_group_IT_number 12
_cell_length_a 6.666
_cell_length_b 10.967
_cell_length_c 3.415
_cell_angle_alpha 90.00
_cell_angle_beta 117.60
_cell_angle_gamma 90.00
loop_
_space_group_symop_operation_xyz
'x,y,z'
'-x,-y,-z'
'-x,y,-z'
'x,-y,z'
'x+1/2,y+1/2,z'
'-x+1/2,-y+1/2,-z'
'-x+1/2,y+1/2,-z'
'x+1/2,-y+1/2,z'
loop_
_atom_site_label
_atom_site_type_symbol
_atom_site_fract_x
_atom_site_fract_y
_atom_site_fract_z
Sr1 Sr 0.000 0.000 0.000
Y1 Y 0.250 0.250 0.500
Si1 Si 0.000 0.500 0.000
```

=====

Entry 4:
A PBEsol-optimized structure of NaScTeRu2, computed with SCAN.

## Properties
The calculation puts the volume at 23.68 Å³ per atom. The energy relative to the elements, uncorrected comes out at 0.8947 eV/atom.

The structure in CIF format:
```
data_NaScTeRu2
_chemical_formula_sum 'Na1 Sc1 Te1 Ru2'
_space_group_name_H-M_alt 'P 4/m m m'
_space_group_IT_number 123
_space_group_name_Hall '-P 4 2'
_cell_length_a 4.652
_cell_length_b 4.652
_cell_length_c 5.470
_cell_angle_alpha 90.00
_cell_angle_beta 90.00
_cell_angle_gamma 90.00
loop_
_atom_site_label
_atom_site_type_symbol
_atom_site_fract_x
_atom_site_fract_y
_atom_site_fract_z
Na1 Na 0.000 0.000 0.000
Sc1 Sc 0.500 0.500 0.500
Te1 Te 0.500 0.500 0.000
Ru1 Ru 0.000 0.500 0.500
```

=====

Entry 5:
A PBEsol-optimized structure of HfSeBr2, computed with SCAN.

## Properties
The calculation puts the volume at 25.00 Å³ per atom. The energy relative to the elements, uncorrected comes out at -0.4960 eV/atom.

The structure in CIF format:
```
data_HfSeBr2
_chemical_formula_sum 'Hf3 Se3 Br6'
_space_group_name_H-M_alt 'R -3 m'
_space_group_IT_number 166
_space_group_name_Hall '-R 3 2"'
_cell_length_a 3.2663
_cell_length_b 3.2663
_cell_length_c 32.4686
_cell_angle_alpha 90.00
_cell_angle_beta 90.00
_cell_angle_gamma 120.00
loop_
_atom_site_label
_atom_site_type_symbol
_atom_site_fract_x
_atom_site_fract_y
_atom_site_fract_z
Hf1 Hf 0.0000 0.0000 0.0000
Se1 Se 0.0000 0.0000 0.5000
Br1 Br 0.0000 0.0000 0.3923
```

=====

Entry 6:
A PBEsol-optimized structure of RhIF2, computed with SCAN.

## Properties
The calculation puts the volume at 18.46 Å³ per atom. The energy relative to the elements, uncorrected comes out at -0.5866 eV/atom.

The structure in CIF format:
```
data_RhIF2
_chemical_formula_sum 'Rh3 I3 F6'
_space_group_name_H-M_alt 'R -3 m'
_space_group_IT_number 166
_space_group_name_Hall '-R 3 2"'
_cell_length_a 3.0026
_cell_length_b 3.0026
_cell_length_c 28.3695
_cell_angle_alpha 90.00
_cell_angle_beta 90.00
_cell_angle_gamma 120.00
loop_
_atom_site_label
_atom_site_type_symbol
_atom_site_fract_x
_atom_site_fract_y
_atom_site_fract_z
Rh1 Rh 0.0000 0.0000 0.0000
I1 I 0.0000 0.0000 0.5000
F1 F 0.0000 0.0000 0.0653
```

=====

Entry 7:
A PBEsol-optimized structure of NaCeHg2, computed with SCAN.

## Properties
The energy of formation comes out at -1.886 eV/f.u. The calculation puts the volume at 24.35 Å³ per atom.

The structure in CIF format:
```
data_NaCeHg2
_chemical_formula_sum 'Na4 Ce4 Hg8'
_space_group_name_H-M_alt 'F m -3 m'
_space_group_IT_number 225
_space_group_name_Hall '-F 4 2 3'
_cell_length_a 7.304
_cell_length_b 7.304
_cell_length_c 7.304
_cell_angle_alpha 90.00
_cell_angle_beta 90.00
_cell_angle_gamma 90.00
loop_
_atom_site_label
_atom_site_type_symbol
_atom_site_fract_x
_atom_site_fract_y
_atom_site_fract_z
Na1 Na 0.000 0.000 0.000
Ce1 Ce 0.000 0.000 0.500
Hg1 Hg 0.250 0.250 0.250
```

=====

Entry 8:
A PBEsol-optimized structure of Tl2Cd, computed with SCAN.

## Properties
The energy of formation comes out at 0.222 eV/f.u. The calculation puts the volume at 26.44 Å³ per atom.

The structure in CIF format:
```
data_Tl2Cd
_chemical_formula_sum 'Tl4 Cd2'
_space_group_name_H-M_alt 'I m m m'
_space_group_IT_number 71
_space_group_name_Hall '-I 2 2'
_cell_length_a 3.232
_cell_length_b 5.579
_cell_length_c 8.799
_cell_angle_alpha 90.00
_cell_angle_beta 90.00
_cell_angle_gamma 90.00
loop_
_atom_site_label
_atom_site_type_symbol
_atom_site_fract_x
_atom_site_fract_y
_atom_site_fract_z
Tl1 Tl 0.000 0.000 0.183
Cd1 Cd 0.000 0.500 0.000
```

=====

Entry 9:
A PBEsol-optimized structure of Rb2NaH2, computed with SCAN.

## Properties
The calculation puts the volume at 36.63 Å³ per atom. Its calculated total energy is -10.46 eV/atom.

The structure in CIF format:
```
data_Rb2NaH2
_chemical_formula_sum 'Rb4 Na2 H4'
_space_group_name_H-M_alt 'I 4/m m m'
_space_group_IT_number 139
_space_group_name_Hall '-I 4 2'
_cell_length_a 5.213
_cell_length_b 5.213
_cell_length_c 13.478
_cell_angle_alpha 90.00
_cell_angle_beta 90.00
_cell_angle_gamma 90.00
loop_
_atom_site_label
_atom_site_type_symbol
_atom_site_fract_x
_atom_site_fract_y
_atom_site_fract_z
Rb1 Rb 0.000 0.000 0.182
Na1 Na 0.000 0.000 0.500
H1 H 0.000 0.500 0.250
```

=====

Entry 10:
A PBEsol-optimized structure of Li2AcIn, computed with SCAN.

## Properties
The energy of formation comes out at -1.386 eV/f.u. The calculation puts the volume at 23.73 Å³ per atom.

The structure in CIF format:
```
data_Li2AcIn
_chemical_formula_sum 'Li8 Ac4 In4'
_space_group_name_H-M_alt 'F m -3 m'
_space_group_IT_number 225
_space_group_name_Hall '-F 4 2 3'
_cell_length_a 7.241
_cell_length_b 7.241
_cell_length_c 7.241
_cell_angle_alpha 90.00
_cell_angle_beta 90.00
_cell_angle_gamma 90.00
loop_
_atom_site_label
_atom_site_type_symbol
_atom_site_fract_x
_atom_site_fract_y
_atom_site_fract_z
Li1 Li 0.250 0.250 0.250
Ac1 Ac 0.000 0.000 0.000
In1 In 0.000 0.000 0.500
```

=====

Entry 11:
A PBEsol-optimized structure of FeReRh2, computed with SCAN.

## Properties
The energy of formation comes out at -0.600 eV/f.u. The calculation puts the volume at 13.32 Å³ per atom.

The structure in CIF format:
```
data_FeReRh2
_chemical_formula_sum 'Fe1 Re1 Rh2'
_space_group_name_H-M_alt 'P 4/m m m'
_space_group_IT_number 123
_space_group_name_Hall '-P 4 2'
_cell_length_a 2.684
_cell_length_b 2.684
_cell_length_c 7.392
_cell_angle_alpha 90.00
_cell_angle_beta 90.00
_cell_angle_gamma 90.00
loop_
_atom_site_label
_atom_site_type_symbol
_atom_site_fract_x
_atom_site_fract_y
_atom_site_fract_z
Fe1 Fe 0.000 0.000 0.000
Re1 Re 0.000 0.000 0.500
Rh1 Rh 0.500 0.500 0.246
```

=====

Entry 12:
A PBEsol-optimized structure of BaNiBr2, computed with SCAN.

## Properties
The calculation puts the volume at 26.34 Å³ per atom. The energy relative to the elements, uncorrected comes out at -0.7171 eV/atom.

The structure in CIF format:
```
data_BaNiBr2
_chemical_formula_sum 'Ba1 Ni1 Br2'
_space_group_name_H-M_alt 'P 4/m m m'
_space_group_IT_number 123
_space_group_name_Hall '-P 4 2'
_cell_length_a 3.933
_cell_length_b 3.933
_cell_length_c 6.814
_cell_angle_alpha 90.00
_cell_angle_beta 90.00
_cell_angle_gamma 90.00
loop_
_atom_site_label
_atom_site_type_symbol
_atom_site_fract_x
_atom_site_fract_y
_atom_site_fract_z
Ba1 Ba 0.000 0.000 0.000
Ni1 Ni 0.000 0.000 0.500
Br1 Br 0.500 0.500 0.260
```

=====

Q: What is the volume in the eleventh record?
A: 13.32 Å³ per atom

=====

Q: The lowest volume belongs to which entry?
A: FeReRh2

=====

Q: Among the records above, which one has the highest volume?
A: Rb2NaH2